Entry from the Alexandria database: a geometry-optimized LaInW2I structure (GGA-PBE).

Lattice parameters (Å, degrees): 4.9750 4.9750 5.7892 90.00 90.00 90.00
Closest atoms and distances in Å follow each position.
Space group P4/mmm (No. 123)
Symmetry-distinct sites (fractional):
1 La 0.0000 0.0000 0.0000  2 I 2.89
2 In 0.5000 0.5000 0.0000  4 La 3.52, 8 W 3.82
3 W 0.0000 0.5000 0.5000  2 I 2.49
4 I 0.0000 0.0000 0.5000  4 W 2.49

Output
Energy relative to the elements, uncorrected in meV per atom: 1788